A geometry-optimized AlCrCl structure, computed with PBE.

Properties
E above lowest polymorph   75 meV per atom
Formation energy (no corrections)   85 meV/atom
VASP energy   -4.986 eV per atom

Cell: 6.1224 6.1241 6.1241 Å, 150.74 150.74 41.86°
With the nearest neighbours (Å) after each atom.
Sites, in units of the cell vectors:
Cr  0.6615  0.6615  0.0000  4 Al 2.63, 4 Cl 2.73
Cl  0.3045  0.3044  0.0001  4 Cr 2.73
Al  0.0341  0.0342  0.9999  4 Cr 2.63